[1]
# CrNiAs4

A relaxed CrNiAs4 crystal (PBE, the Alexandria database).

Computed properties:
E_tot, eV for the cell shown: -68.94
Energy above the most stable polymorph in this dataset, meV per atom: 0
ΔE_f, eV/atom: -0.078

Unit cell a=6.1170 b=5.6578 c=6.0543 alpha=90.00 beta=90.11 gamma=90.00
Space group P2_1/c (No. 14)
Symmetry-distinct sites (fractional):
Cr 0.0000 0.0000 0.0000 [2 per cell]
Ni 0.5000 0.0000 0.5000 [2 per cell]
As 0.1383 0.0919 0.6220 [4 per cell]
As 0.3831 0.6117 0.6327 [4 per cell]

***

[2]
# CrNi2As

A relaxed CrNi2As crystal (PBE, the Alexandria database).

Computed properties:
E_tot, eV for the cell shown: -74.86
ΔE_f, eV/atom: 0.220

Unit cell a=2.7347 b=2.7347 c=23.3171 alpha=90.00 beta=90.00 gamma=120.00
Space group R3m (No. 160, hexagonal axes)
Symmetry-distinct sites (fractional):
Cr 0.0000 0.0000 0.0000 [3 per cell]
Ni 0.0000 0.0000 0.5009 [3 per cell]
Ni 0.0000 0.0000 0.7486 [3 per cell]
As 0.0000 0.0000 0.2486 [3 per cell]